No. 1
# HgH13C14S2N5O2

A relaxed HgH13C14S2N5O2 crystal (GGA-PBE, OQMD).

Cell: 9.400 9.676 10.843 Å, 105.20 100.12 111.42°
Positions (direct):
Hg1 0.240 0.319 0.133
Hg2 0.760 0.681 0.867
H1 0.051 0.563 0.638
H2 0.078 0.902 0.559
H3 0.159 0.111 0.645
H4 0.166 0.387 0.521
H5 0.173 0.033 0.482
H6 0.184 0.786 0.398
H7 0.231 0.793 0.852
H8 0.266 0.999 0.222
H9 0.319 0.700 0.408
H10 0.323 0.778 0.092
H11 0.413 0.224 0.815
H12 0.449 0.189 0.424
H13 0.485 0.164 0.062
H14 0.515 0.836 0.938
H15 0.551 0.811 0.576
H16 0.587 0.776 0.185
H17 0.677 0.222 0.908
H18 0.681 0.300 0.592
H19 0.734 0.001 0.778
H20 0.769 0.207 0.148
H21 0.816 0.214 0.602
H22 0.827 0.967 0.518
H23 0.834 0.613 0.479
H24 0.841 0.889 0.355
H25 0.922 0.098 0.441
H26 0.949 0.437 0.362
C1 0.083 0.951 0.875
C2 0.096 0.326 0.843
C3 0.175 0.586 0.679
C4 0.179 0.016 0.579
C5 0.237 0.488 0.614
C6 0.274 0.713 0.797
C7 0.335 0.018 0.640
C8 0.375 0.897 0.572
C9 0.376 0.988 0.254
C10 0.396 0.519 0.670
C11 0.410 0.870 0.185
C12 0.432 0.738 0.846
C13 0.443 0.131 0.761
C14 0.467 0.413 0.603
C15 0.533 0.587 0.397
C16 0.557 0.869 0.239
C17 0.568 0.262 0.154
C18 0.590 0.130 0.815
C19 0.604 0.481 0.330
C20 0.624 0.012 0.746
C21 0.625 0.103 0.428
C22 0.665 0.982 0.360
C23 0.726 0.287 0.203
C24 0.763 0.512 0.386
C25 0.821 0.984 0.421
C26 0.825 0.414 0.321
C27 0.904 0.674 0.157
C28 0.917 0.049 0.125
S1 0.075 0.177 0.255
S2 0.264 0.448 0.965
S3 0.736 0.552 0.035
S4 0.925 0.823 0.745
N1 0.021 0.757 0.249
N2 0.199 0.044 0.966
N3 0.279 0.779 0.456
N4 0.482 0.100 0.372
N5 0.491 0.643 0.784
N6 0.509 0.357 0.216
N7 0.518 0.900 0.628
N8 0.721 0.221 0.544
N9 0.801 0.956 0.034
N10 0.979 0.243 0.751
O1 0.381 0.309 0.489
O2 0.395 0.567 0.334
O3 0.605 0.433 0.666
O4 0.619 0.691 0.511

Raw total energy, eV for the cell shown: -474.1

No. 2
# HgH3CSO3

A relaxed HgH3CSO3 crystal (GGA-PBE, OQMD).

Cell: 8.374 8.374 8.788 Å, 119.79 119.79 60.56°
Positions (direct):
Hg1 0.052 0.738 0.685
Hg2 0.262 0.948 0.815
Hg3 0.738 0.052 0.185
Hg4 0.948 0.262 0.315
H1 0.031 0.636 0.201
H2 0.239 0.525 0.127
H3 0.264 0.662 0.371
H4 0.338 0.736 0.129
H5 0.364 0.969 0.299
H6 0.475 0.761 0.373
H7 0.525 0.239 0.627
H8 0.636 0.031 0.701
H9 0.662 0.264 0.871
H10 0.736 0.338 0.629
H11 0.761 0.475 0.873
H12 0.969 0.364 0.799
C1 0.189 0.568 0.241
C2 0.432 0.811 0.259
C3 0.568 0.189 0.741
C4 0.811 0.432 0.759
S1 0.248 0.354 0.277
S2 0.354 0.248 0.777
S3 0.646 0.752 0.223
S4 0.752 0.646 0.723
O1 0.151 0.224 0.104
O2 0.160 0.417 0.422
O3 0.224 0.151 0.604
O4 0.274 0.460 0.852
O5 0.417 0.160 0.922
O6 0.460 0.274 0.352
O7 0.540 0.726 0.648
O8 0.583 0.840 0.078
O9 0.726 0.540 0.148
O10 0.776 0.849 0.396
O11 0.840 0.583 0.578
O12 0.849 0.776 0.896

Raw total energy, eV for the cell shown: -177.7

No. 3
# HgH10C2S2O8

A relaxed HgH10C2S2O8 crystal (GGA-PBE, OQMD).

Cell: 4.662 6.101 7.842 Å, 89.89 87.70 85.33°
Positions (direct):
Hg1 0.000 0.000 0.000
H1 0.005 0.382 0.200
H2 0.157 0.643 0.428
H3 0.163 0.936 0.396
H4 0.324 0.332 0.118
H5 0.416 0.792 0.535
H6 0.584 0.208 0.465
H7 0.676 0.668 0.882
H8 0.837 0.064 0.604
H9 0.843 0.357 0.572
H10 0.995 0.618 0.800
C1 0.292 0.781 0.419
C2 0.708 0.219 0.581
S1 0.462 0.264 0.755
S2 0.538 0.736 0.245
O1 0.165 0.265 0.178
O2 0.283 0.467 0.721
O3 0.299 0.065 0.761
O4 0.373 0.713 0.088
O5 0.627 0.287 0.912
O6 0.701 0.935 0.239
O7 0.717 0.533 0.279
O8 0.835 0.735 0.822

Raw total energy, eV for the cell shown: -117.7

No. 4
# HoH9C5N2O8

A relaxed HoH9C5N2O8 crystal (GGA-PBE, OQMD).

Cell: 9.725 9.725 8.280 Å, 90.00 90.00 140.42°
Positions (direct):
Ho1 0.142 0.858 0.750
Ho2 0.858 0.142 0.250
H1 0.076 0.498 0.560
H2 0.167 0.353 0.902
H3 0.248 0.248 0.500
H4 0.314 0.686 0.250
H5 0.332 0.344 0.827
H6 0.344 0.332 0.173
H7 0.345 0.655 0.750
H8 0.353 0.167 0.098
H9 0.498 0.076 0.440
H10 0.502 0.924 0.940
H11 0.647 0.833 0.598
H12 0.655 0.345 0.250
H13 0.656 0.668 0.673
H14 0.668 0.656 0.327
H15 0.686 0.314 0.750
H16 0.752 0.752 0.000
H17 0.833 0.647 0.402
H18 0.924 0.502 0.060
C1 0.011 0.524 0.473
C2 0.080 0.080 0.500
C3 0.374 0.626 0.250
C4 0.405 0.595 0.750
C5 0.476 0.989 0.027
C6 0.524 0.011 0.527
C7 0.595 0.405 0.250
C8 0.626 0.374 0.750
C9 0.920 0.920 0.000
C10 0.989 0.476 0.973
N1 0.296 0.420 0.834
N2 0.420 0.296 0.166
N3 0.580 0.704 0.666
N4 0.704 0.580 0.334
O1 0.010 0.648 0.514
O2 0.038 0.935 0.569
O3 0.061 0.575 0.839
O4 0.065 0.962 0.931
O5 0.240 0.426 0.274
O6 0.352 0.990 0.986
O7 0.425 0.939 0.661
O8 0.426 0.240 0.726
O9 0.574 0.760 0.226
O10 0.575 0.061 0.161
O11 0.648 0.010 0.486
O12 0.760 0.574 0.774
O13 0.935 0.038 0.431
O14 0.939 0.425 0.339
O15 0.962 0.065 0.069
O16 0.990 0.352 0.014

Total magnetization, μB per atom: 0.000
E above lowest polymorph, eV per formula unit: 0.000
Raw total energy, eV for the cell shown: -325.4

No. 5
# HoH9C5N2O8

A relaxed HoH9C5N2O8 crystal (GGA-PBE, OQMD).

Cell: 6.586 6.586 6.466 Å, 106.77 106.77 64.41°
Positions (direct):
Ho1 0.000 0.000 0.000
H1 0.161 0.465 0.127
H2 0.246 0.500 0.534
H3 0.343 0.204 0.403
H4 0.500 0.754 0.466
H5 0.535 0.449 0.823
H6 0.535 0.839 0.873
H7 0.551 0.465 0.177
H8 0.796 0.657 0.597
H9 0.916 0.084 0.500
C1 0.055 0.467 0.959
C2 0.073 0.927 0.500
C3 0.527 0.294 0.703
C4 0.533 0.945 0.041
C5 0.706 0.473 0.297
N1 0.358 0.334 0.533
N2 0.666 0.642 0.467
O1 0.012 0.635 0.872
O2 0.152 0.836 0.670
O3 0.164 0.848 0.330
O4 0.365 0.988 0.128
O5 0.671 0.098 0.732
O6 0.693 0.016 0.133
O7 0.902 0.329 0.268
O8 0.984 0.307 0.867

Total magnetization, μB per atom: 0.000
E above lowest polymorph, eV per formula unit: 0.232
Raw total energy, eV for the cell shown: -162.5

No. 6
# HoH9C4N2O8

A relaxed HoH9C4N2O8 crystal (GGA-PBE, OQMD).

Cell: 17.804 6.502 7.377 Å, 90.00 90.00 90.00°
Positions (direct):
Ho1 0.102 0.199 0.000
Ho2 0.398 0.199 0.500
Ho3 0.602 0.801 0.000
Ho4 0.898 0.801 0.500
H1 0.039 0.581 0.749
H2 0.057 0.079 0.440
H3 0.110 0.707 0.507
H4 0.139 0.731 0.166
H5 0.151 0.436 0.396
H6 0.164 0.375 0.612
H7 0.164 0.708 0.688
H8 0.239 0.458 0.486
H9 0.247 0.888 0.341
H10 0.253 0.888 0.841
H11 0.261 0.458 0.986
H12 0.336 0.375 0.112
H13 0.336 0.708 0.188
H14 0.349 0.436 0.896
H15 0.361 0.731 0.666
H16 0.390 0.707 0.007
H17 0.443 0.079 0.940
H18 0.461 0.581 0.249
H19 0.539 0.419 0.749
H20 0.557 0.921 0.440
H21 0.610 0.293 0.507
H22 0.639 0.269 0.166
H23 0.651 0.564 0.396
H24 0.664 0.292 0.688
H25 0.664 0.625 0.612
H26 0.739 0.542 0.486
H27 0.747 0.112 0.341
H28 0.753 0.112 0.841
H29 0.761 0.542 0.986
H30 0.836 0.292 0.188
H31 0.836 0.625 0.112
H32 0.849 0.564 0.896
H33 0.861 0.269 0.666
H34 0.890 0.293 0.007
H35 0.943 0.921 0.940
H36 0.961 0.419 0.249
C1 0.013 0.479 0.311
C2 0.046 0.084 0.587
C3 0.138 0.705 0.018
C4 0.234 0.050 0.311
C5 0.266 0.050 0.811
C6 0.362 0.705 0.518
C7 0.454 0.084 0.087
C8 0.487 0.479 0.811
C9 0.513 0.521 0.311
C10 0.546 0.916 0.587
C11 0.638 0.295 0.018
C12 0.734 0.950 0.311
C13 0.766 0.950 0.811
C14 0.862 0.295 0.518
C15 0.954 0.916 0.087
C16 0.987 0.521 0.811
N1 0.165 0.690 0.549
N2 0.182 0.477 0.512
N3 0.318 0.477 0.012
N4 0.335 0.690 0.049
N5 0.665 0.310 0.549
N6 0.682 0.523 0.512
N7 0.818 0.523 0.012
N8 0.835 0.310 0.049
O1 0.008 0.618 0.431
O2 0.009 0.020 0.149
O3 0.075 0.404 0.257
O4 0.089 0.193 0.685
O5 0.120 0.853 0.917
O6 0.155 0.528 0.957
O7 0.173 0.087 0.229
O8 0.221 0.188 0.864
O9 0.279 0.188 0.364
O10 0.327 0.087 0.729
O11 0.345 0.528 0.457
O12 0.380 0.853 0.417
O13 0.411 0.193 0.185
O14 0.425 0.404 0.757
O15 0.491 0.020 0.649
O16 0.492 0.618 0.931
O17 0.508 0.382 0.431
O18 0.509 0.980 0.149
O19 0.575 0.596 0.257
O20 0.589 0.807 0.685
O21 0.620 0.147 0.917
O22 0.655 0.472 0.957
O23 0.673 0.913 0.229
O24 0.721 0.812 0.864
O25 0.779 0.812 0.364
O26 0.827 0.913 0.729
O27 0.845 0.472 0.457
O28 0.880 0.147 0.417
O29 0.911 0.807 0.185
O30 0.925 0.596 0.757
O31 0.991 0.980 0.649
O32 0.992 0.382 0.931

Total magnetization, μB per atom: 0.000
Raw total energy, eV for the cell shown: -608.9

No. 7
# HoH15C3O15

A relaxed HoH15C3O15 crystal (GGA-PBE, OQMD).

Cell: 5.869 8.880 11.281 Å, 80.26 87.47 71.85°
Positions (direct):
Ho1 0.177 0.458 0.270
Ho2 0.823 0.542 0.730
H1 0.164 0.813 0.962
H2 0.174 0.653 0.443
H3 0.179 0.319 0.642
H4 0.224 0.692 0.388
H5 0.236 0.700 0.872
H6 0.247 0.550 0.024
H7 0.324 0.406 0.518
H8 0.352 0.863 0.323
H9 0.365 0.937 0.082
H10 0.381 0.437 0.711
H11 0.413 0.367 0.050
H12 0.415 0.655 0.548
H13 0.442 0.873 0.364
H14 0.488 0.661 0.167
H15 0.495 0.917 0.794
H16 0.505 0.083 0.206
H17 0.512 0.339 0.833
H18 0.558 0.127 0.636
H19 0.585 0.345 0.452
H20 0.587 0.633 0.950
H21 0.619 0.563 0.289
H22 0.635 0.063 0.918
H23 0.648 0.137 0.677
H24 0.676 0.594 0.482
H25 0.753 0.450 0.976
H26 0.764 0.300 0.128
H27 0.776 0.308 0.612
H28 0.821 0.681 0.358
H29 0.826 0.347 0.557
H30 0.836 0.187 0.038
C1 0.118 0.182 0.815
C2 0.118 0.999 0.527
C3 0.159 0.175 0.180
C4 0.841 0.825 0.820
C5 0.882 0.001 0.473
C6 0.882 0.818 0.185
O1 0.018 0.713 0.786
O2 0.031 0.125 0.742
O3 0.041 0.263 0.422
O4 0.041 0.315 0.851
O5 0.149 0.086 0.108
O6 0.168 0.432 0.628
O7 0.205 0.127 0.480
O8 0.245 0.898 0.600
O9 0.256 0.442 0.070
O10 0.297 0.719 0.948
O11 0.336 0.077 0.860
O12 0.367 0.167 0.234
O13 0.413 0.378 0.439
O14 0.478 0.154 0.920
O15 0.488 0.569 0.230
O16 0.512 0.431 0.770
O17 0.522 0.846 0.080
O18 0.587 0.622 0.561
O19 0.633 0.833 0.766
O20 0.664 0.923 0.140
O21 0.703 0.281 0.052
O22 0.744 0.558 0.930
O23 0.755 0.102 0.400
O24 0.795 0.873 0.520
O25 0.832 0.568 0.372
O26 0.851 0.914 0.892
O27 0.959 0.685 0.149
O28 0.959 0.737 0.578
O29 0.969 0.875 0.258
O30 0.982 0.287 0.214

Total magnetization, μB per atom: 0.029
Raw total energy, eV for the cell shown: -377.3

No. 8
# HoH2CO4

A relaxed HoH2CO4 crystal (GGA-PBE, OQMD).

Cell: 7.478 6.889 6.107 Å, 90.00 99.61 90.00°
Positions (direct):
Ho1 0.109 0.116 0.267
Ho2 0.109 0.384 0.767
Ho3 0.891 0.616 0.233
Ho4 0.891 0.884 0.733
H1 0.195 0.731 0.042
H2 0.195 0.769 0.542
H3 0.257 0.019 0.887
H4 0.257 0.481 0.387
H5 0.743 0.519 0.613
H6 0.743 0.981 0.113
H7 0.805 0.231 0.458
H8 0.805 0.269 0.958
C1 0.491 0.069 0.598
C2 0.491 0.431 0.098
C3 0.509 0.569 0.902
C4 0.509 0.931 0.402
O1 0.084 0.668 0.971
O2 0.084 0.832 0.471
O3 0.136 0.064 0.900
O4 0.136 0.436 0.400
O5 0.341 0.157 0.588
O6 0.341 0.343 0.088
O7 0.374 0.582 0.747
O8 0.374 0.918 0.247
O9 0.626 0.082 0.753
O10 0.626 0.418 0.253
O11 0.659 0.657 0.912
O12 0.659 0.843 0.412
O13 0.864 0.564 0.600
O14 0.864 0.936 0.100
O15 0.916 0.168 0.529
O16 0.916 0.332 0.029

Total magnetization, μB per atom: 0.000
Raw total energy, eV for the cell shown: -222.9

Q: Among the records above, which one has the highest raw total energy?
A: HgH10C2S2O8

Q: Look up the raw total energy of the third one.
A: -117.7 eV for the cell shown